1.
Below is a relaxed structure of Mn2H2Ru, with properties calculated at the PBE level.

Energy above the lowest structure with this stoichiometry, meV per atom: 183
Density of states at the Fermi level, states/eV per cell: 8.87

Lattice parameters (Å, degrees): 5.6111 5.6111 2.6587 90.00 90.00 90.00
With the nearest neighbours (Å) after each atom.
Space group P4/mbm (No. 127)
One atom of each set of equivalent atoms:
Mn 0.1250 0.3750 0.0000 [4 per cell]  2 H 1.92, 1 Mn 1.98
H 0.1997 0.6997 0.5000 [4 per cell]  2 Mn 1.92, 2 Ru 2.02
Ru 0.0000 0.0000 0.5000 [2 per cell]  4 H 2.02


2.
Below is a relaxed structure of Na2TlGaF6, with properties calculated at the PBE level.

Formation energy without anion corrections, eV/f.u.: -25.52
Energy above the lowest structure with this stoichiometry, meV per atom: 0
Density of states at the Fermi level, states/eV per cell: 0.00

Lattice parameters (Å, degrees): 5.8462 5.8462 15.9699 90.00 90.00 120.00
With the nearest neighbours (Å) after each atom.
Space group R3 (No. 146, hexagonal axes)
One atom of each set of equivalent atoms:
Na 0.0000 0.0000 0.0000 [3 per cell]  6 F 2.26-2.50
Na 0.0000 0.0000 0.4781 [3 per cell]  6 F 2.33-2.51
Tl 0.0000 0.0000 0.2102 [3 per cell]  3 F 2.60
Ga 0.0000 0.0000 0.6801 [3 per cell]  6 F 1.92-1.96
F 0.0510 0.6142 0.2694 [9 per cell]  1 Ga 1.96
F 0.0613 0.3779 0.4092 [9 per cell]  1 Ga 1.92


3.
Below is a relaxed structure of Zn2SbPb2, with properties calculated at the PBE level.

Formation energy without anion corrections, eV/f.u.: 0.77
Energy above the lowest structure with this stoichiometry, meV per atom: 58
Density of states at the Fermi level, states/eV per cell: 5.20

Lattice parameters (Å, degrees): 3.8650 3.8650 17.4631 90.00 90.00 90.00
With the nearest neighbours (Å) after each atom.
Space group I4/mmm (No. 139)
One atom of each set of equivalent atoms:
Zn 0.0000 0.5000 0.2500 [4 per cell]  4 Zn 2.73
Sb 0.0000 0.0000 0.0000 [2 per cell]  8 Pb 3.30
Pb 0.0000 0.0000 0.3936 [4 per cell]  4 Zn 3.17, 4 Sb 3.30


4.
Below is a relaxed structure of Pm4HoTh3N8, with properties calculated at the PBE level.

Formation energy without anion corrections, eV/f.u.: -25.00
Density of states at the Fermi level, states/eV per cell: 7.04

Lattice parameters (Å, degrees): 7.2361 7.2361 17.7024 90.00 90.00 120.00
With the nearest neighbours (Å) after each atom.
Space group R-3m (No. 166, hexagonal axes)
One atom of each set of equivalent atoms:
Pm 0.0000 0.0000 0.0000 [3 per cell]  6 N 2.60
Pm 0.0000 0.5000 0.0000 [9 per cell]  6 N 2.59-2.60
Ho 0.0000 0.0000 0.5000 [3 per cell]  6 N 2.51
Th 0.0000 0.5000 0.5000 [9 per cell]  6 N 2.52-2.53
N 0.0000 0.0000 0.2469 [6 per cell]  3 Th 2.53, 3 Pm 2.59
N 0.0009 0.5005 0.2460 [18 per cell]  1 Ho 2.51, 2 Th 2.52, 3 Pm 2.60


5.
Below is a relaxed structure of Ag12Hg5Se3, with properties calculated at the PBE level.

Formation energy without anion corrections, eV/f.u.: 5.01
Density of states at the Fermi level, states/eV per cell: 48.72

Lattice parameters (Å, degrees): 16.2586 16.2586 16.2586 90.00 90.00 90.00
With the nearest neighbours (Å) after each atom.
Space group Ia-3d (No. 230)
One atom of each set of equivalent atoms:
Ag 0.0050 0.0830 0.6497 [96 per cell]  2 Se 2.75-2.99, 1 Ag 2.78, 2 Hg 2.78-2.88
Hg 0.0000 0.0000 0.0000 [16 per cell]  6 Ag 2.78
Hg 0.0000 0.2500 0.3750 [24 per cell]  4 Ag 2.88
Se 0.0000 0.2500 0.1250 [24 per cell]  8 Ag 2.75-2.99


6.
Below is a relaxed structure of Ca2BeHgAu6, with properties calculated at the PBE level.

Total energy, eV/atom: -3.036
Density of states at the Fermi level, states/eV per cell: 11.80

Lattice parameters (Å, degrees): 9.7884 9.7884 9.7884 90.00 90.00 90.00
With the nearest neighbours (Å) after each atom.
Space group Fm-3m (No. 225)
One atom of each set of equivalent atoms:
Ca 0.2500 0.2500 0.2500 [8 per cell]  12 Au 3.47
Be 0.0000 0.0000 0.0000 [4 per cell]  6 Au 2.21
Hg 0.0000 0.0000 0.5000 [4 per cell]  6 Au 2.68
Au 0.0000 0.0000 0.2261 [24 per cell]  1 Be 2.21


7.
Below is a relaxed structure of SiPSe2, with properties calculated at the PBE level.

Formation energy without anion corrections, eV/f.u.: 2.05
Energy above the lowest structure with this stoichiometry, meV per atom: 600
Density of states at the Fermi level, states/eV per cell: 4.63

Lattice parameters (Å, degrees): 3.5689 3.5689 16.1327 90.00 90.00 90.00
With the nearest neighbours (Å) after each atom.
Space group I4/mmm (No. 139)
One atom of each set of equivalent atoms:
Si 0.0000 0.0000 0.0000 [2 per cell]  4 P 2.52
P 0.0000 0.0000 0.5000 [2 per cell]  4 Si 2.52
Se 0.0000 0.5000 0.2500 [4 per cell]  4 Se 2.52


8.
Below is a relaxed structure of Ac2YLu, with properties calculated at the PBE level.

Energy above the lowest structure with this stoichiometry, meV per atom: 223
Density of states at the Fermi level, states/eV per cell: 22.46

Lattice parameters (Å, degrees): 3.6877 3.6877 39.2321 90.00 90.00 120.00
With the nearest neighbours (Å) after each atom.
Space group R-3m (No. 166, hexagonal axes)
One atom of each set of equivalent atoms:
Ac 0.0000 0.0000 0.0881 [6 per cell]  1 Lu 3.46, 6 Ac 3.69, 3 Y 3.75
Y 0.0000 0.0000 0.5000 [3 per cell]  6 Y 3.69, 6 Ac 3.75
Lu 0.0000 0.0000 0.0000 [3 per cell]  2 Ac 3.46, 6 Lu 3.69


9.
Below is a relaxed structure of Nd4P2Cl, with properties calculated at the PBE level.

Formation energy without anion corrections, eV/f.u.: -9.51
Density of states at the Fermi level, states/eV per cell: 4.77

Lattice parameters (Å, degrees): 7.1254 4.1016 7.1377 90.00 109.16 90.00
With the nearest neighbours (Å) after each atom.
Space group P2/m (No. 10)
One atom of each set of equivalent atoms:
Nd 0.2300 0.0000 0.2407 [2 per cell]  3 P 2.83-2.85, 2 Cl 3.00
Nd 0.2368 0.5000 0.7482 [2 per cell]  3 P 2.84-2.87, 1 Cl 2.97
P 0.0000 0.0000 0.5000 [1 per cell]  6 Nd 2.85-2.87
P 0.0000 0.5000 0.0000 [1 per cell]  6 Nd 2.83-2.84
Cl 0.5000 0.5000 0.5000 [1 per cell]  6 Nd 2.97-3.00


10.
Below is a relaxed structure of FeAs2Pd3, with properties calculated at the PBE level.

Total energy, eV/atom: -5.878
Density of states at the Fermi level, states/eV per cell: 5.86

Lattice parameters (Å, degrees): 5.4973 12.3402 5.4280 90.00 90.00 90.00
With the nearest neighbours (Å) after each atom.
Space group Ibam (No. 72)
One atom of each set of equivalent atoms:
Fe 0.0000 0.0000 0.2500 [4 per cell]  4 As 2.32
As 0.2112 0.1200 0.0000 [8 per cell]  2 Fe 2.32, 3 Pd 2.44-2.56
Pd 0.0000 0.5000 0.2500 [4 per cell]  4 As 2.56, 2 Pd 2.71, 2 Fe 2.75
Pd 0.2445 0.1831 0.5000 [8 per cell]  2 As 2.44-2.62


11.
Below is a relaxed structure of Zr3Ni5Se12, with properties calculated at the PBE level.

Formation energy without anion corrections, eV/f.u.: -12.17
Density of states at the Fermi level, states/eV per cell: 102.94

Lattice parameters (Å, degrees): 14.8905 14.8905 14.8905 90.00 90.00 90.00
With the nearest neighbours (Å) after each atom.
Space group Ia-3d (No. 230)
One atom of each set of equivalent atoms:
Zr 0.0000 0.2500 0.1250 [24 per cell]  8 Se 2.83-2.88
Ni 0.0000 0.0000 0.0000 [16 per cell]  6 Se 2.42
Ni 0.0000 0.2500 0.3750 [24 per cell]  4 Se 2.29
Se 0.0249 0.0599 0.6494 [96 per cell]  2 Ni 2.29-2.42


12.
Below is a relaxed structure of Hg2Cl3O, with properties calculated at the PBE level.

Formation energy without anion corrections, eV/f.u.: -1.72
Density of states at the Fermi level, states/eV per cell: 9.77

Lattice parameters (Å, degrees): 18.1867 3.7255 10.1458 90.00 111.44 90.00
With the nearest neighbours (Å) after each atom.
Space group C2/m (No. 12)
One atom of each set of equivalent atoms:
Hg 0.0879 0.0000 0.2859 [4 per cell]  2 O 2.32, 2 Cl 2.55
Hg 0.0957 0.5000 0.9601 [4 per cell]  2 O 2.36
Cl 0.0793 0.0000 0.7602 [4 per cell]  3 Hg 2.69-2.90
Cl 0.1427 0.5000 0.4677 [4 per cell]  2 Hg 2.55
Cl 0.1927 0.0000 0.1273 [4 per cell]  3 Hg 2.70-2.91
O 0.0438 0.5000 0.1416 [4 per cell]  4 Hg 2.32-2.36


13.
Below is a relaxed structure of PmY5Ir6, with properties calculated at the PBE level.

Total energy, eV/atom: -8.264
Density of states at the Fermi level, states/eV per cell: 4.43

Lattice parameters (Å, degrees): 4.9571 6.6800 7.8232 90.00 108.04 90.00
With the nearest neighbours (Å) after each atom.
Space group P2/m (No. 10)
One atom of each set of equivalent atoms:
Pm 0.0000 0.0000 0.0000 [1 per cell]  8 Ir 3.00-3.01, 2 Y 3.34
Y 0.0000 0.5000 0.0000 [1 per cell]  8 Ir 2.98-3.00
Y 0.3326 0.0000 0.6653 [2 per cell]  8 Ir 2.97-3.01
Y 0.3332 0.5000 0.6664 [2 per cell]  8 Ir 2.96-2.98
Ir 0.1683 0.2514 0.3364 [4 per cell]  7 Y 2.96-3.00, 1 Pm 3.01
Ir 0.5000 0.2535 0.0000 [2 per cell]  6 Y 2.98-3.01, 2 Pm 3.00, 1 Ir 3.29


14.
Below is a relaxed structure of PaCo3Si, with properties calculated at the PBE level.

Formation energy without anion corrections, eV/f.u.: -0.19
Energy above the lowest structure with this stoichiometry, meV per atom: 326
Density of states at the Fermi level, states/eV per cell: 4.73

Lattice parameters (Å, degrees): 4.2406 4.2406 4.2406 90.00 90.00 90.00
With the nearest neighbours (Å) after each atom.
Space group Pm-3m (No. 221)
One atom of each set of equivalent atoms:
Pa 0.0000 0.0000 0.0000 [1 per cell]  12 Co 3.00
Co 0.0000 0.5000 0.5000 [3 per cell]  2 Si 2.12
Si 0.5000 0.5000 0.5000 [1 per cell]  6 Co 2.12


15.
Below is a relaxed structure of Sm2GdSb, with properties calculated at the PBE level.

Formation energy without anion corrections, eV/f.u.: -1.37
Energy above the lowest structure with this stoichiometry, meV per atom: 187
Density of states at the Fermi level, states/eV per cell: 17.75

Lattice parameters (Å, degrees): 4.0748 4.0748 29.1846 90.00 90.00 120.00
With the nearest neighbours (Å) after each atom.
Space group R-3m (No. 166, hexagonal axes)
One atom of each set of equivalent atoms:
Sm 0.0000 0.0000 0.2340 [6 per cell]  3 Sb 3.07
Gd 0.0000 0.0000 0.0000 [3 per cell]  6 Sm 3.73, 6 Gd 4.07
Sb 0.0000 0.0000 0.5000 [3 per cell]  6 Sm 3.07


16.
Below is a relaxed structure of GdYCoPd, with properties calculated at the PBE level.

Total energy, eV/atom: -8.665
Density of states at the Fermi level, states/eV per cell: 10.00

Lattice parameters (Å, degrees): 6.9104 6.9104 6.9104 90.00 90.00 90.00
With the nearest neighbours (Å) after each atom.
Space group F-43m (No. 216)
One atom of each set of equivalent atoms:
Gd 0.0000 0.0000 0.0000 [4 per cell]  4 Pd 2.99, 4 Co 2.99
Y 0.0000 0.0000 0.5000 [4 per cell]  4 Co 2.99, 4 Pd 2.99
Co 0.2500 0.2500 0.2500 [4 per cell]  4 Gd 2.99, 4 Y 2.99
Pd 0.2500 0.2500 0.7500 [4 per cell]  4 Gd 2.99, 4 Y 2.99


17.
Below is a relaxed structure of SmDy3In3, with properties calculated at the PBE level.

Energy above the lowest structure with this stoichiometry, meV per atom: 0
Density of states at the Fermi level, states/eV per cell: 11.45

Lattice parameters (Å, degrees): 9.4122 9.4122 5.1630 90.00 90.00 120.00
With the nearest neighbours (Å) after each atom.
Space group P6_3/m (No. 176)
One atom of each set of equivalent atoms:
Sm 0.3333 0.6667 0.2500 [2 per cell]  9 In 3.37-3.45, 3 Dy 3.70
Dy 0.9995 0.2324 0.7500 [6 per cell]  4 In 3.14-3.34, 4 Dy 3.38
In 0.0695 0.6166 0.7500 [6 per cell]  4 Dy 3.14-3.34, 2 In 3.21, 3 Sm 3.37-3.45